## i
Compound: AlSi2Ni4
Source: Alexandria via LeMat-Bulk
Functional: PBE
Structure: optimized geometry

Geometry as extended XYZ:
```
14
Lattice="3.7450 0.0000 0.0000 -1.8725 3.2433 0.0000 0.0000 0.0000 15.0422" Properties=species:S:1:pos:R:3 pbc="T T T"
Al 0.0000 2.1622 5.6823
Al 1.8725 1.0811 9.3599
Si 0.0000 0.0000 3.7555
Si 0.0000 0.0000 11.2867
Si 0.0000 2.1622 13.3427
Si 1.8725 1.0811 1.6995
Ni 0.0000 2.1622 0.6326
Ni 0.0000 2.1622 3.0138
Ni 0.0000 2.1622 8.1276
Ni 0.0000 2.1622 10.6714
Ni 1.8725 1.0811 4.3708
Ni 1.8725 1.0811 6.9146
Ni 1.8725 1.0811 12.0284
Ni 1.8725 1.0811 14.4096
```

Results
- magnetization (μB per formula unit) = 0.00
- DOS at the Fermi energy (states/eV/f.u.) = 3.9
- symmetry = P-3m1 (164)

=====

## ii
Compound: AlSi2Ni4
Source: Alexandria via LeMat-Bulk
Functional: PBE
Structure: optimized geometry

Geometry as extended XYZ:
```
7
Lattice="3.6264 0.0000 0.0000 -1.8132 3.1405 0.0000 0.0000 0.0000 9.6858" Properties=species:S:1:pos:R:3 pbc="T T T"
Al 0.0000 0.0000 0.0000
Si 0.0000 2.0937 3.5582
Si 1.8132 1.0468 6.5605
Ni 0.0000 0.0000 2.5395
Ni 0.0000 0.0000 7.3112
Ni 0.0000 2.0937 1.2545
Ni 0.0000 2.0937 5.7934
```

Results
- magnetization (μB per formula unit) = 0.00
- DOS at the Fermi energy (states/eV/f.u.) = 4.1
- symmetry = P3m1 (156)

=====

Of them, ii has the lowest stability.

=====

## i
Compound: AlSi2Ni4
Source: Alexandria via LeMat-Bulk
Functional: PBE
Structure: optimized geometry

Geometry as extended XYZ:
```
14
Lattice="3.8169 0.0000 0.0000 -1.9084 3.3055 0.0000 0.0000 0.0000 14.2605" Properties=species:S:1:pos:R:3 pbc="T T T"
Al 0.0000 0.0000 0.0000
Al 0.0000 0.0000 7.1302
Si 0.0000 2.2037 3.3225
Si 0.0000 2.2037 12.5992
Si 1.9084 1.1018 5.4690
Si 1.9084 1.1018 10.4527
Ni 0.0000 0.0000 2.3215
Ni 0.0000 0.0000 4.6720
Ni 0.0000 0.0000 9.4517
Ni 0.0000 0.0000 11.8023
Ni 0.0000 2.2037 0.9065
Ni 0.0000 2.2037 6.0430
Ni 1.9084 1.1018 8.0368
Ni 1.9084 1.1018 13.1732
```

Results
- magnetization (μB per formula unit) = 0.00
- DOS at the Fermi energy (states/eV/f.u.) = 4.9
- symmetry = P6_3mc (186)

=====

## ii
Compound: AlSi2Ni4
Source: Alexandria via LeMat-Bulk
Functional: PBE
Structure: optimized geometry

Geometry as extended XYZ:
```
7
Lattice="2.6817 0.0000 0.0000 -1.3409 2.3225 0.0000 0.0000 0.0000 13.9050" Properties=species:S:1:pos:R:3 pbc="T T T"
Al 0.0000 0.0000 0.0000
Si 0.0000 1.5483 9.7017
Si 1.3409 0.7742 4.2033
Ni 0.0000 1.5483 5.9311
Ni 0.0000 1.5483 11.9645
Ni 1.3409 0.7742 1.9405
Ni 1.3409 0.7742 7.9739
```

Results
- magnetization (μB per formula unit) = 0.00
- DOS at the Fermi energy (states/eV/f.u.) = 5.1
- symmetry = P-3m1 (164)

=====

Of them, ii has the lowest stability.

=====

## i
Compound: AlSi4Ni
Source: Alexandria via LeMat-Bulk
Functional: PBE
Structure: optimized geometry

Geometry as extended XYZ:
```
12
Lattice="6.8406 0.0000 0.0000 0.0000 3.4186 0.0000 0.0000 0.0000 7.4351" Properties=species:S:1:pos:R:3 pbc="T T T"
Al 1.7102 0.0000 0.6069
Al 5.1305 0.0000 6.8282
Si 0.0000 0.0000 3.7175
Si 0.2642 1.7093 6.2053
Si 1.7102 1.7093 2.8396
Si 3.1561 1.7093 6.2053
Si 3.4203 0.0000 3.7175
Si 3.6845 1.7093 1.2297
Si 5.1305 1.7093 4.5955
Si 6.5765 1.7093 1.2297
Ni 1.7102 0.0000 5.5615
Ni 5.1305 0.0000 1.8736
```

Results
- magnetization (μB per formula unit) = 0.00
- DOS at the Fermi energy (states/eV/f.u.) = 1.8
- symmetry = Pmma (51)

=====

## ii
Compound: AlSi4Ni
Source: Alexandria via LeMat-Bulk
Functional: PBE
Structure: optimized geometry

Geometry as extended XYZ:
```
6
Lattice="6.0051 0.0000 0.0000 0.0000 2.3392 3.2133 0.0000 -2.3392 3.2133" Properties=species:S:1:pos:R:3 pbc="T T T"
Al 0.0000 0.0000 0.0000
Si 1.2065 0.0000 4.0450
Si 1.8587 0.0000 1.7195
Si 4.1464 0.0000 1.7195
Si 4.7986 0.0000 4.0450
Ni 3.0025 0.0000 5.4896
```

Results
- magnetization (μB per formula unit) = 0.00
- DOS at the Fermi energy (states/eV/f.u.) = 2.1
- symmetry = Amm2 (38)

=====

## iii
Compound: AlSi4Ni
Source: Alexandria via LeMat-Bulk
Functional: PBE
Structure: optimized geometry

Geometry as extended XYZ:
```
12
Lattice="1.3050 -8.3356 0.0000 1.3050 8.3356 0.0000 0.0000 0.0000 8.3869" Properties=species:S:1:pos:R:3 pbc="T T T"
Al 1.3050 5.2229 6.2901
Al 1.3050 -5.2229 2.0967
Si 1.3050 7.7489 6.2901
Si 1.3050 2.4593 4.4687
Si 1.3050 2.4593 8.1116
Si 1.3050 0.0000 0.0000
Si 1.3050 0.0000 4.1934
Si 1.3050 -2.4593 0.2753
Si 1.3050 -2.4593 3.9182
Si 1.3050 -7.7489 2.0967
Ni 1.3050 5.1793 2.0967
Ni 1.3050 -5.1793 6.2901
```

Results
- magnetization (μB per formula unit) = 0.00
- DOS at the Fermi energy (states/eV/f.u.) = 2.3
- symmetry = Cmcm (63)

=====

## iv
Compound: AlSi4Ni
Source: Alexandria via LeMat-Bulk
Functional: PBE
Structure: optimized geometry

Geometry as extended XYZ:
```
12
Lattice="1.7492 -6.9822 0.0000 1.7492 6.9822 0.0000 0.0000 0.0000 7.1527" Properties=species:S:1:pos:R:3 pbc="T T T"
Al 1.7492 4.9126 5.3645
Al 1.7492 -4.9126 1.7882
Si 1.7492 6.4592 1.7882
Si 1.7492 2.5206 3.7692
Si 1.7492 2.5206 6.9599
Si 1.7492 0.0000 0.0000
Si 1.7492 0.0000 3.5763
Si 1.7492 -2.5206 0.1928
Si 1.7492 -2.5206 3.3835
Si 1.7492 -6.4592 5.3645
Ni 1.7492 4.0358 1.7882
Ni 1.7492 -4.0358 5.3645
```

Results
- magnetization (μB per formula unit) = 0.00
- DOS at the Fermi energy (states/eV/f.u.) = 2.6
- symmetry = Cmcm (63)

=====

Of them, ii has the lowest stability.

=====

## i
Compound: AlSi3Ni3
Source: Alexandria via LeMat-Bulk
Functional: PBE
Structure: optimized geometry

Geometry as extended XYZ:
```
14
Lattice="6.8036 0.0000 0.0000 -3.4018 5.8921 0.0000 0.0000 0.0000 4.3590" Properties=species:S:1:pos:R:3 pbc="T T T"
Al 0.0000 3.9280 1.0897
Al 3.4018 1.9640 3.2692
Si -0.8346 2.5823 3.2692
Si -0.7481 5.3237 3.2692
Si 1.8190 2.0140 1.0897
Si 1.5828 3.8781 3.2692
Si 4.1499 0.5683 1.0897
Si 4.2364 3.3098 1.0897
Ni -0.5436 1.5997 1.0897
Ni -1.7447 5.5630 1.0897
Ni 1.1136 1.2706 3.2692
Ni 2.2882 4.6215 1.0897
Ni 5.1464 0.3291 3.2692
Ni 3.9454 4.2924 3.2692
```

Results
- magnetization (μB per formula unit) = 0.00
- DOS at the Fermi energy (states/eV/f.u.) = 2.4
- symmetry = P6_3/m (176)

=====

## ii
Compound: AlSi3Ni3
Source: Alexandria via LeMat-Bulk
Functional: PBE
Structure: optimized geometry

Geometry as extended XYZ:
```
14
Lattice="6.8041 0.0000 0.0000 0.0000 3.9231 0.0000 -1.9936 0.0000 6.6924" Properties=species:S:1:pos:R:3 pbc="T T T"
Al 0.5936 0.9808 1.8543
Al 4.2169 2.9423 4.8381
Si 0.0853 0.9808 4.5302
Si 1.7862 2.9423 0.0529
Si 1.5242 2.9423 5.0567
Si 3.2863 0.9808 1.6357
Si 3.0243 0.9808 6.6395
Si 4.7252 2.9423 2.1622
Ni -1.5042 0.9808 6.0846
Ni -0.0754 2.9423 3.2401
Ni 2.3336 2.9423 2.3696
Ni 2.4769 0.9808 4.3228
Ni 4.8859 0.9808 3.4524
Ni 6.3147 2.9423 0.6078
```

Results
- magnetization (μB per formula unit) = 0.00
- DOS at the Fermi energy (states/eV/f.u.) = 1.6
- symmetry = P2_1/m (11)

=====

## iii
Compound: AlSi3Ni3
Source: Alexandria via LeMat-Bulk
Functional: PBE
Structure: optimized geometry

Geometry as extended XYZ:
```
14
Lattice="3.4666 0.0000 0.0000 0.0000 6.9415 0.0000 0.0000 0.0000 7.5150" Properties=species:S:1:pos:R:3 pbc="T T T"
Al 0.8666 1.7354 1.2529
Al 2.5999 5.2061 6.2620
Si 0.8666 0.5569 4.4481
Si 0.8666 2.9138 4.4481
Si 0.8666 5.2061 0.8635
Si 2.5999 1.7354 6.6515
Si 2.5999 4.0277 3.0668
Si 2.5999 6.3846 3.0668
Ni 0.8666 0.0161 6.6199
Ni 0.8666 3.4546 6.6199
Ni 0.8666 5.2061 4.3458
Ni 2.5999 1.7354 3.1691
Ni 2.5999 3.4868 0.8951
Ni 2.5999 6.9254 0.8951
```

Results
- magnetization (μB per formula unit) = 0.00
- DOS at the Fermi energy (states/eV/f.u.) = 3.0
- symmetry = Pmmn (59)

=====

Of them, i has the lowest stability.

=====

## i
Compound: Al2SiNi5
Source: Alexandria via LeMat-Bulk
Functional: PBE
Structure: optimized geometry

Geometry as extended XYZ:
```
8
Lattice="-1.8722 1.8722 6.5497 1.8722 -1.8722 6.5497 1.8722 1.8722 -6.5497" Properties=species:S:1:pos:R:3 pbc="T T T"
Al 0.0000 0.0000 3.2226
Al 0.0000 0.0000 9.8768
Si 0.0000 0.0000 6.5497
Ni 0.0000 0.0000 0.0000
Ni 1.8722 0.0000 1.6019
Ni 1.8722 0.0000 4.9478
Ni 0.0000 1.8722 1.6019
Ni 0.0000 1.8722 4.9478
```

Results
- magnetization (μB per formula unit) = 0.00
- DOS at the Fermi energy (states/eV/f.u.) = 3.4
- symmetry = I4/mmm (139)

=====

## ii
Compound: Al2SiNi5
Source: Alexandria via LeMat-Bulk
Functional: PBE
Structure: optimized geometry

Geometry as extended XYZ:
```
16
Lattice="4.9578 0.0000 0.0000 0.0000 9.7415 0.0000 0.0000 0.0000 3.7963" Properties=species:S:1:pos:R:3 pbc="T T T"
Al 0.8157 1.4003 0.0000
Al 1.6633 6.2711 0.0000
Al 3.2946 3.4704 0.0000
Al 4.1422 8.3412 0.0000
Si 0.0000 4.8708 1.8981
Si 2.4789 0.0000 1.8981
Ni 0.0000 0.0000 1.8981
Ni 0.4032 7.1902 1.8981
Ni 0.8865 3.8649 0.0000
Ni 1.5924 8.7356 0.0000
Ni 2.0757 2.3194 1.8981
Ni 2.4789 4.8708 1.8981
Ni 2.8821 7.4221 1.8981
Ni 3.3655 1.0059 0.0000
Ni 4.0713 5.8767 0.0000
Ni 4.5547 2.5514 1.8981
```

Results
- magnetization (μB per formula unit) = 0.00
- DOS at the Fermi energy (states/eV/f.u.) = 5.4
- symmetry = Pbam (55)

=====

Of them, i has the lowest stability.

=====

## i
Compound: AlSiNi6
Source: Alexandria via LeMat-Bulk
Functional: PBE
Structure: optimized geometry

Geometry as extended XYZ:
```
8
Lattice="3.2204 0.0000 0.0000 0.0000 3.2204 0.0000 0.0000 0.0000 9.8481" Properties=species:S:1:pos:R:3 pbc="T T T"
Al 0.0000 0.0000 0.0000
Si 0.0000 0.0000 4.9240
Ni 0.0000 1.6102 1.8775
Ni 0.0000 1.6102 7.9706
Ni 1.6102 0.0000 1.8775
Ni 1.6102 0.0000 7.9706
Ni 1.6102 1.6102 3.7646
Ni 1.6102 1.6102 6.0835
```

Results
- magnetization (μB per formula unit) = 0.85
- DOS at the Fermi energy (states/eV/f.u.) = 12.2
- symmetry = P4/mmm (123)

=====

## ii
Compound: AlSiNi6
Source: Alexandria via LeMat-Bulk
Functional: PBE
Structure: optimized geometry

Geometry as extended XYZ:
```
32
Lattice="3.5390 -4.9990 0.0000 3.5390 4.9990 0.0000 0.0000 0.0000 9.9768" Properties=species:S:1:pos:R:3 pbc="T T T"
Al 0.0000 0.0000 2.4814
Al 0.0000 0.0000 7.4954
Al 3.5390 2.5391 0.0000
Al 3.5390 -2.5391 0.0000
Si 3.5390 2.5429 4.9884
Si 3.5390 0.0000 2.4790
Si 3.5390 0.0000 7.4978
Si 3.5390 -2.5429 4.9884
Ni 0.0000 0.0000 0.0000
Ni 0.0000 0.0000 4.9884
Ni 1.7973 1.2537 3.7601
Ni 1.7973 1.2537 6.2167
Ni 1.8036 1.2447 1.2686
Ni 1.8036 1.2447 8.7082
Ni 3.5390 2.5001 2.5423
Ni 3.5390 2.5001 7.4345
Ni 1.7973 -1.2537 3.7601
Ni 1.7973 -1.2537 6.2167
Ni 1.8036 -1.2447 1.2686
Ni 1.8036 -1.2447 8.7082
Ni 3.5390 0.0000 0.0000
Ni 3.5390 0.0000 4.9884
Ni 5.2744 1.2447 1.2686
Ni 5.2744 1.2447 8.7082
Ni 5.2806 1.2537 3.7601
Ni 5.2806 1.2537 6.2167
Ni 3.5390 -2.5001 2.5423
Ni 3.5390 -2.5001 7.4345
Ni 5.2744 -1.2447 1.2686
Ni 5.2744 -1.2447 8.7082
Ni 5.2806 -1.2537 3.7601
Ni 5.2806 -1.2537 6.2167
```

Results
- magnetization (μB per formula unit) = 0.63
- DOS at the Fermi energy (states/eV/f.u.) = 9.3
- symmetry = Cmmm (65)

=====

Of them, i has the lowest stability.

=====

## i
Compound: Al3Si3Ni2
Source: Alexandria via LeMat-Bulk
Functional: PBE
Structure: optimized geometry

Geometry as extended XYZ:
```
8
Lattice="6.5436 0.0000 0.0000 -3.2718 5.6669 0.0000 0.0000 0.0000 3.0017" Properties=species:S:1:pos:R:3 pbc="T T T"
Al -2.4722 4.2819 0.0000
Al 0.7997 1.3850 0.0000
Al 4.9443 0.0000 0.0000
Si -1.2768 2.2115 1.5009
Si 2.5536 0.0000 1.5009
Si 1.9950 3.4554 1.5009
Ni 0.0000 3.7780 0.0000
Ni 3.2718 1.8890 0.0000
```

Results
- magnetization (μB per formula unit) = 0.00
- DOS at the Fermi energy (states/eV/f.u.) = 4.0
- symmetry = P-62m (189)

=====

## ii
Compound: Al3Si3Ni2
Source: Alexandria via LeMat-Bulk
Functional: PBE
Structure: optimized geometry

Geometry as extended XYZ:
```
16
Lattice="5.1842 0.0000 0.0000 -2.3135 5.5477 0.0000 -0.3472 -2.6785 7.6230" Properties=species:S:1:pos:R:3 pbc="T T T"
Al -0.2182 0.3974 3.7180
Al -0.2089 -0.0623 7.5805
Al 1.1824 -1.4996 5.5962
Al 1.3412 4.3687 2.0268
Al 2.7325 2.9314 0.0424
Al 2.7418 2.4717 3.9050
Si -1.2363 4.0960 2.2683
Si -0.9920 5.2699 0.0957
Si 1.3671 1.4774 1.9811
Si 1.1565 1.3917 5.6419
Si 3.5156 -2.4008 7.5273
Si 3.7598 -1.2269 5.3546
Ni -1.3660 1.2277 5.7742
Ni 0.1804 2.8801 3.7817
Ni 2.3431 -0.0110 3.8413
Ni 3.8896 1.6414 1.8488
```

Results
- magnetization (μB per formula unit) = 0.00
- DOS at the Fermi energy (states/eV/f.u.) = 2.4
- symmetry = P-1 (2)

=====

Of them, i has the lowest stability.